(1)
A plane-wave DFT calculation with SCAN was carried out for a crystal of LiFe3 relaxed with PBEsol.

Values from the calculation:
Crystal system: tetragonal
Total magnetization: 7.5 μB per formula unit
N(E_F): 0.47 states/eV/atom
ΔE_f: 20.2 kJ/mol of atoms
Mass density: 6.60 g cm⁻³

Unit cell a=2.727 b=4.013 c=4.013 alpha=90.00 beta=90.00 gamma=90.00
Positions (direct):
Li: 0.500 0.000 0.000
Fe: 0.000 0.000 0.500
Fe: 0.000 0.500 0.000
Fe: 0.500 0.500 0.500

***

(2)
A plane-wave DFT calculation with SCAN was carried out for a crystal of Li2Fe relaxed with PBEsol.

Values from the calculation:
Crystal system: tetragonal
Total magnetization: 2.5 μB per formula unit
N(E_F): 0.83 states/eV/atom
ΔE_f: 28.3 kJ/mol of atoms
Mass density: 2.89 g cm⁻³

Unit cell a=2.428 b=2.428 c=13.702 alpha=95.08 beta=95.08 gamma=90.00
Positions (direct):
Li: 0.576 0.576 0.152
Li: 0.674 0.174 0.348
Li: 0.826 0.326 0.652
Li: 0.424 0.424 0.848
Fe: 0.250 0.750 0.500
Fe: 0.000 0.000 0.000

***

(3)
A plane-wave DFT calculation with SCAN was carried out for a crystal of LiMgFe2 relaxed with PBEsol.

Values from the calculation:
Crystal system: orthorhombic
Total magnetization: 5.0 μB per formula unit
N(E_F): 0.79 states/eV/atom
ΔE_f: 31.6 kJ/mol of atoms
Mass density: 4.54 g cm⁻³

Unit cell a=2.526 b=4.185 c=4.945 alpha=90.00 beta=90.00 gamma=90.00
Positions (direct):
Fe: 0.000 0.000 0.244
Fe: 0.000 0.000 0.756
Mg: 0.500 0.500 0.500
Li: 0.500 0.500 0.000

***

(4)
A plane-wave DFT calculation with SCAN was carried out for a crystal of LiMgFe relaxed with PBEsol.

Values from the calculation:
Crystal system: orthorhombic
Total magnetization: 2.5 μB per formula unit
N(E_F): 0.79 states/eV/atom
ΔE_f: 28.7 kJ/mol of atoms
Mass density: 3.21 g cm⁻³

Unit cell a=2.671 b=4.017 c=4.839 alpha=114.52 beta=106.02 gamma=90.00
Positions (direct):
Fe: 0.001 0.001 0.002
Li: 0.661 0.661 0.323
Mg: 0.337 0.337 0.675

***

Question: Among the records above, which one has the highest N(E_F)?
Answer: Li2Fe

***

Question: N(E_F) of number 3 (LiMgFe2)?
Answer: 0.79 states/eV/atom